(1)
Below is a relaxed LaPrP2 crystal, with properties calculated at the PBE level.

Results
The density of states at the Fermi level is 0.109 states/eV/atom. As for the calculated formation energy: -1.5468 eV/atom. The density comes out at 5.26 g/cm3. Its crystal system is monoclinic. The value obtained for the magnetic moment is 0.000 μB per atom.

Lattice parameters (Å, degrees): 7.345 7.343 9.483 104.97 104.98 109.42
Positions (direct):
La  0.938  0.188  0.875
La  0.062  0.812  0.125
La  0.188  0.438  0.375
La  0.812  0.562  0.625
Pr  0.312  0.062  0.625
Pr  0.562  0.312  0.125
Pr  0.688  0.938  0.375
Pr  0.438  0.688  0.875
P  0.685  0.437  0.875
P  0.190  0.938  0.875
P  0.315  0.563  0.125
P  0.810  0.062  0.125
P  0.937  0.688  0.375
P  0.562  0.813  0.625
P  0.063  0.312  0.625
P  0.438  0.187  0.375

---

(2)
Below is a relaxed LaPrP crystal, with properties calculated at the PBE level.

Results
The density of states at the Fermi level is 1.160 states/eV/atom. As for the calculated formation energy: -0.9442 eV/atom. The density comes out at 5.18 g/cm3. Its crystal system is monoclinic. The value obtained for the magnetic moment is 0.000 μB per atom.

Lattice parameters (Å, degrees): 5.847 11.640 8.177 134.30 90.00 90.00
Positions (direct):
La  0.250  0.371  0.744
La  0.750  0.629  0.756
La  0.750  0.629  0.256
La  0.250  0.371  0.244
P  0.250  0.129  0.754
P  0.750  0.871  0.746
P  0.750  0.871  0.246
P  0.250  0.129  0.254
Pr  0.250  0.883  0.759
Pr  0.750  0.117  0.741
Pr  0.750  0.117  0.241
Pr  0.250  0.883  0.259

---

(3)
Below is a relaxed La2PrP crystal, with properties calculated at the PBE level.

Results
The density of states at the Fermi level is 1.012 states/eV/atom. As for the calculated formation energy: -0.6878 eV/atom. The density comes out at 5.53 g/cm3. Its crystal system is trigonal. The value obtained for the magnetic moment is 0.047 μB per atom.

Lattice parameters (Å, degrees): 4.012 4.012 9.965 78.39 78.39 60.00
Each line ends with the local moment (μB).
Positions (direct):
La  0.060  0.060  0.819  0.07
La  0.273  0.273  0.181  -0.03
Pr  0.500  0.500  0.500  0.03
P  0.667  0.667  0.000  0.00

---

(4)
Below is a relaxed LaPrP crystal, with properties calculated at the PBE level.

Results
The density of states at the Fermi level is 0.615 states/eV/atom. As for the calculated formation energy: -0.8919 eV/atom. The density comes out at 6.01 g/cm3. Its crystal system is cubic. The value obtained for the magnetic moment is 0.000 μB per atom.

Lattice parameters (Å, degrees): 4.953 4.953 4.953 60.00 60.00 60.00
Positions (direct):
Pr  0.500  0.500  0.500
P  0.250  0.250  0.250
La  0.000  0.000  0.000

---

(5)
Below is a relaxed La2PrP crystal, with properties calculated at the PBE level.

Results
The density of states at the Fermi level is 1.158 states/eV/atom. As for the calculated formation energy: -0.5589 eV/atom. The density comes out at 5.30 g/cm3. Its crystal system is trigonal. The value obtained for the magnetic moment is 0.001 μB per atom.

Lattice parameters (Å, degrees): 3.936 3.936 10.741 79.44 79.44 60.00
Positions (direct):
Pr  0.000  0.000  0.000
P  0.500  0.500  0.500
La  0.112  0.112  0.664
La  0.888  0.888  0.336

---

(6)
Below is a relaxed La3Pr2P4 crystal, with properties calculated at the PBE level.

Results
The density of states at the Fermi level is 0.550 states/eV/atom. As for the calculated formation energy: -1.3853 eV/atom. The density comes out at 5.12 g/cm3. Its crystal system is monoclinic. The value obtained for the magnetic moment is 0.083 μB per atom.

Lattice parameters (Å, degrees): 4.237 7.328 9.399 75.70 76.97 73.20
Each line ends with the local moment (μB).
Positions (direct):
La  0.000  0.000  0.000  0.01
La  0.202  0.402  0.194  0.03
La  0.798  0.598  0.806  0.03
Pr  0.606  0.177  0.611  0.06
Pr  0.394  0.823  0.389  0.06
P  0.797  0.101  0.306  0.00
P  0.203  0.899  0.694  0.00
P  0.400  0.303  0.898  0.00
P  0.600  0.697  0.102  0.00

---

Number 5 is which compound? La2PrP

---

Copy entry 1 word for word.
Below is a relaxed LaPrP2 crystal, with properties calculated at the PBE level.

Results
The density of states at the Fermi level is 0.109 states/eV/atom. As for the calculated formation energy: -1.5468 eV/atom. The density comes out at 5.26 g/cm3. Its crystal system is monoclinic. The value obtained for the magnetic moment is 0.000 μB per atom.

Lattice parameters (Å, degrees): 7.345 7.343 9.483 104.97 104.98 109.42
Positions (direct):
La  0.938  0.188  0.875
La  0.062  0.812  0.125
La  0.188  0.438  0.375
La  0.812  0.562  0.625
Pr  0.312  0.062  0.625
Pr  0.562  0.312  0.125
Pr  0.688  0.938  0.375
Pr  0.438  0.688  0.875
P  0.685  0.437  0.875
P  0.190  0.938  0.875
P  0.315  0.563  0.125
P  0.810  0.062  0.125
P  0.937  0.688  0.375
P  0.562  0.813  0.625
P  0.063  0.312  0.625
P  0.438  0.187  0.375

---

Among the records above, which one has the highest calculated formation energy? number 5

---

Which of these has the highest magnetic moment? La3Pr2P4